Record 1
An optimized crystal structure of TlCr2Te, computed with GGA-PBE.

Results
formation energy (no corrections)	48.1	kJ per mole of atoms
crystal system	orthorhombic
total energy	-5.690	eV/atom
total moment	8.4	μB per formula unit

Structure (CIF):
```
data_TlCr2Te
_cell_length_a 3.606
_cell_length_b 3.620
_cell_length_c 6.713
_cell_angle_alpha 90.00
_cell_angle_beta 90.00
_cell_angle_gamma 90.00
_symmetry_space_group_name_H-M 'P 1'
_symmetry_Int_Tables_number 1
_symmetry_space_group_name_Hall 'P 1'
loop_
_atom_site_label
_atom_site_fract_x
_atom_site_fract_y
_atom_site_fract_z
Tl1 0.000 0.000 0.000
Cr1 0.500 0.500 0.261
Cr2 0.500 0.500 0.739
Te1 0.000 0.000 0.500
```

***

Record 2
An optimized crystal structure of CaTlSiTeSeF, computed with GGA-PBE.

Results
formation energy (no corrections)	-114.1	kJ per mole of atoms
crystal system	monoclinic
total energy	-4.231	eV/atom
total moment	0.0	μB per formula unit

Structure (CIF):
```
data_CaTlSiTeSeF
_cell_length_a 4.234
_cell_length_b 3.991
_cell_length_c 9.171
_cell_angle_alpha 90.00
_cell_angle_beta 91.37
_cell_angle_gamma 90.00
_symmetry_space_group_name_H-M 'P 1'
_symmetry_Int_Tables_number 1
_symmetry_space_group_name_Hall 'P 1'
loop_
_atom_site_label
_atom_site_fract_x
_atom_site_fract_y
_atom_site_fract_z
Ca1 0.000 0.000 0.000
Tl1 0.951 0.000 0.613
Si1 0.170 0.500 0.334
Te1 0.495 0.500 0.834
Se1 0.508 0.000 0.284
F1 0.020 0.500 0.150
```